Entry 1:
V2SiOs, optimized geometry, DFT PBE; D(E_F) = 1.03 states/eV/atom; raw formation energy = 31 kJ per mole of atoms; VASP energy = -8.400 eV per atom; SG = I-42d, No. 122
1.0
-2.6699 5.4012 -3.0525
-5.5239 -0.5566 3.8465
-3.0215 3.9518 2.1627
V Os Si
4 2 2
Direct
0.8750 0.8775 0.7500 V
0.3750 0.3725 0.7500 V
0.1225 0.6250 0.2500 V
0.6275 0.1250 0.2500 V
0.7500 0.2500 0.5000 Os
0.0000 0.0000 0.0000 Os
0.2500 0.7500 0.5000 Si
0.5000 0.5000 0.0000 Si

***

Entry 2:
CaAlSe, optimized geometry, DFT PBE; D(E_F) = 0.99 states/eV/atom; raw formation energy = -26 kJ per mole of atoms; energy above the lowest structure with this stoichiometry = 1.09 eV per formula unit; VASP energy = -3.346 eV per atom; SG = F-43m, No. 216
1.0
4.9808 0.0000 0.0000
2.4904 4.3135 0.0000
2.4904 1.4378 4.0668
Ca Al Se
1 1 1
Direct
0.2500 0.2500 0.2500 Ca
0.5000 0.5000 0.5000 Al
0.0000 0.0000 0.0000 Se

***

- Which value of D(E_F) does entry 2 give?
  0.99 states/eV/atom

***

- Which formula does entry 1 have?
  V2SiOs

***

- Look up the raw formation energy of the second one.
  -26 kJ per mole of atoms